{"formula": "CsPrNiTe3", "functional": "PBE-GGA", "state": "relaxed", "rho_g_cm3": 5.206, "polymorph_energy_mev_per_atom": 0, "total_energy_ev_per_atom": -4.36, "cell": [[10.440, 0.000, 0.000], [0.000, 4.412, 0.000], [-4.010, 0.000, 9.907]], "species": ["Cs", "Cs", "Pr", "Pr", "Ni", "Ni", "Te", "Te", "Te", "Te", "Te", "Te"], "frac_coords": [[0.223, 0.250, 0.263], [0.777, 0.750, 0.737], [0.320, 0.750, 0.864], [0.680, 0.250, 0.136], [0.096, 0.250, 0.621], [0.904, 0.750, 0.379], [0.101, 0.250, 0.862], [0.154, 0.750, 0.538], [0.479, 0.750, 0.180], [0.521, 0.250, 0.820], [0.846, 0.250, 0.462], [0.899, 0.750, 0.138]]}

{"formula": "CsPrNiTe3", "functional": "PBE-GGA", "state": "relaxed", "rho_g_cm3": 5.609, "polymorph_energy_mev_per_atom": 157, "total_energy_ev_per_atom": -4.20, "cell": [[8.754, -2.298, 0.000], [8.754, 2.298, 0.000], [-0.541, 0.000, 10.528]], "species": ["Cs", "Cs", "Pr", "Pr", "Ni", "Ni", "Te", "Te", "Te", "Te", "Te", "Te"], "frac_coords": [[0.153, 0.153, 0.092], [0.847, 0.847, 0.908], [0.164, 0.164, 0.597], [0.836, 0.836, 0.403], [0.496, 0.496, 0.623], [0.504, 0.504, 0.377], [0.000, 0.000, 0.500], [0.344, 0.344, 0.624], [0.391, 0.391, 0.214], [0.500, 0.500, 0.000], [0.609, 0.609, 0.786], [0.656, 0.656, 0.376]]}

{"formula": "CsPrNiTe3", "functional": "PBE-GGA", "state": "relaxed", "rho_g_cm3": 5.290, "polymorph_energy_mev_per_atom": 34, "total_energy_ev_per_atom": -4.33, "cell": [[2.191, -8.649, 0.000], [2.191, 8.649, 0.000], [0.000, 0.000, 11.848]], "species": ["Cs", "Cs", "Pr", "Pr", "Ni", "Ni", "Te", "Te", "Te", "Te", "Te", "Te"], "frac_coords": [[0.241, 0.759, 0.750], [0.759, 0.241, 0.250], [0.500, 0.500, 0.000], [0.500, 0.500, 0.500], [0.029, 0.971, 0.250], [0.971, 0.029, 0.750], [0.121, 0.879, 0.078], [0.121, 0.879, 0.422], [0.444, 0.556, 0.250], [0.556, 0.444, 0.750], [0.879, 0.121, 0.578], [0.879, 0.121, 0.922]]}

{"formula": "CsPrNiTe3", "functional": "PBE-GGA", "state": "relaxed", "rho_g_cm3": 5.867, "polymorph_energy_mev_per_atom": 47, "total_energy_ev_per_atom": -4.32, "cell": [[12.299, 0.000, 0.000], [0.000, 4.637, 0.000], [0.000, 0.000, 14.201]], "species": ["Cs", "Cs", "Cs", "Cs", "Pr", "Pr", "Pr", "Pr", "Ni", "Ni", "Ni", "Ni", "Te", "Te", "Te", "Te", "Te", "Te", "Te", "Te", "Te", "Te", "Te", "Te"], "frac_coords": [[0.156, 0.250, 0.005], [0.344, 0.750, 0.505], [0.656, 0.250, 0.495], [0.844, 0.750, 0.995], [0.009, 0.250, 0.658], [0.491, 0.750, 0.158], [0.509, 0.250, 0.842], [0.991, 0.750, 0.342], [0.229, 0.250, 0.294], [0.271, 0.750, 0.794], [0.729, 0.250, 0.206], [0.771, 0.750, 0.706], [0.063, 0.750, 0.804], [0.120, 0.250, 0.449], [0.219, 0.750, 0.221], [0.281, 0.250, 0.721], [0.380, 0.750, 0.949], [0.437, 0.250, 0.304], [0.563, 0.750, 0.696], [0.620, 0.250, 0.051], [0.719, 0.750, 0.279], [0.781, 0.250, 0.779], [0.880, 0.750, 0.551], [0.937, 0.250, 0.196]]}

{"formula": "Cs2NiPt2Se4", "functional": "PBE-GGA", "state": "relaxed", "rho_g_cm3": 6.344, "total_energy_ev_per_atom": -4.41, "cell": [[0.000, 5.423, 7.316], [3.399, 0.000, 7.316], [3.399, 5.423, 0.000]], "species": ["Cs", "Cs", "Ni", "Pt", "Pt", "Se", "Se", "Se", "Se"], "frac_coords": [[0.152, 0.152, 0.848], [0.848, 0.848, 0.152], [0.500, 0.500, 0.500], [0.000, 0.000, 0.500], [0.500, 0.500, 0.000], [0.231, 0.556, 0.444], [0.444, 0.769, 0.231], [0.556, 0.231, 0.769], [0.769, 0.444, 0.556]]}

{"formula": "CsScNiS3", "functional": "PBE-GGA", "state": "relaxed", "rho_g_cm3": 4.169, "total_energy_ev_per_atom": -5.18, "cell": [[7.804, -1.963, 0.000], [7.804, 1.963, 0.000], [-1.369, 0.000, 8.649]], "species": ["Cs", "Cs", "Sc", "Sc", "Ni", "Ni", "S", "S", "S", "S", "S", "S"], "frac_coords": [[0.159, 0.159, 0.061], [0.841, 0.841, 0.939], [0.163, 0.163, 0.569], [0.837, 0.837, 0.431], [0.490, 0.490, 0.685], [0.510, 0.510, 0.315], [0.000, 0.000, 0.500], [0.335, 0.335, 0.630], [0.366, 0.366, 0.256], [0.500, 0.500, 0.000], [0.634, 0.634, 0.744], [0.665, 0.665, 0.370]]}

{"formula": "CsScNiS3", "functional": "PBE-GGA", "state": "relaxed", "rho_g_cm3": 3.647, "total_energy_ev_per_atom": -5.44, "cell": [[9.125, 0.000, 0.000], [0.000, 3.810, 0.000], [-3.849, 0.000, 8.716]], "species": ["Cs", "Cs", "Sc", "Sc", "Ni", "Ni", "S", "S", "S", "S", "S", "S"], "frac_coords": [[0.220, 0.250, 0.250], [0.780, 0.750, 0.750], [0.332, 0.750, 0.866], [0.668, 0.250, 0.134], [0.077, 0.250, 0.602], [0.923, 0.750, 0.398], [0.135, 0.250, 0.857], [0.180, 0.750, 0.556], [0.483, 0.750, 0.156], [0.517, 0.250, 0.844], [0.820, 0.250, 0.444], [0.865, 0.750, 0.143]]}

{"formula": "CsNiSeS2", "functional": "PBE-GGA", "state": "relaxed", "rho_g_cm3": 4.001, "total_energy_ev_per_atom": -4.11, "cell": [[6.474, 0.000, 0.000], [-3.076, 6.256, 0.000], [-2.243, -1.849, 6.859]], "species": ["Cs", "Cs", "Ni", "Ni", "Se", "Se", "S", "S", "S", "S"], "frac_coords": [[0.199, 0.341, 0.164], [0.801, 0.659, 0.836], [0.238, 0.956, 0.517], [0.762, 0.044, 0.483], [0.215, 0.630, 0.603], [0.785, 0.370, 0.397], [0.158, 0.184, 0.673], [0.374, 0.919, 0.281], [0.626, 0.081, 0.719], [0.842, 0.816, 0.327]]}